No. 1
A relaxed YAg3Hg4 crystal, computed with PBE-GGA.

Summary:
* density of states at the Fermi level: 0.327 states/eV/atom
* formation enthalpy at 0 K: -0.128 eV per atom
* total magnetization: 0.00 μB/cell

Cell lengths 9.1410, 8.3320, 4.5699 Å; angles 90.00, 90.00, 90.00 degrees
Space group Pmma (No. 51)
Unique sites:
Y1 0.0000 0.0000 0.0000 x2
Ag1 0.0000 0.5000 0.0000 x2
Ag2 0.2500 0.0000 0.4994 x2
Ag3 0.2500 0.5000 0.4981 x2
Hg1 0.0000 0.2604 0.5000 x4
Hg2 0.2500 0.2604 0.9990 x4

---

No. 2
A relaxed LaTbTmTl crystal, computed with PBE-GGA.

Summary:
* density of states at the Fermi level: 1.934 states/eV/atom
* formation enthalpy at 0 K: 0.006 eV per atom
* distance to the lowest polymorph of the same formula: 82 meV/atom
* total magnetization: 2.43 μB/cell

Cell lengths 7.7507, 7.7507, 7.7507 Å; angles 90.00, 90.00, 90.00 degrees
Space group F-43m (No. 216)
Unique sites:
La1 0.0000 0.0000 0.0000 x4
Tb1 0.2500 0.2500 0.7500 x4
Tm1 0.2500 0.2500 0.2500 x4
Tl1 0.0000 0.0000 0.5000 x4

---

No. 3
A relaxed Cd2NiHRh crystal, computed with PBE-GGA.

Summary:
* density of states at the Fermi level: 0.812 states/eV/atom
* distance to the lowest polymorph of the same formula: 959 meV/atom
* total magnetization: 1.86 μB/cell

Cell lengths 4.9452, 4.9452, 4.4913 Å; angles 90.00, 90.00, 90.00 degrees
Space group P4/mmm (No. 123)
Unique sites:
Cd1 0.0000 0.5000 0.0000 x2
Ni1 0.0000 0.0000 0.0000 x1
H1 0.5000 0.5000 0.5000 x1
Rh1 0.0000 0.0000 0.5000 x1

---

No. 4
A relaxed KCa2Au crystal, computed with PBE-GGA.

Summary:
* density of states at the Fermi level: 0.892 states/eV/atom
* formation enthalpy at 0 K: -0.180 eV per atom
* distance to the lowest polymorph of the same formula: 179 meV/atom
* total magnetization: 0.00 μB/cell

Cell lengths 4.1057, 4.1057, 32.9526 Å; angles 90.00, 90.00, 120.00 degrees
Space group R3m (No. 160, hexagonal axes)
Unique sites:
K1 0.0000 0.0000 0.0000 x3
Ca1 0.0000 0.0000 0.5431 x3
Ca2 0.0000 0.0000 0.7785 x3
Au1 0.0000 0.0000 0.2621 x3